No. 1
A plane-wave DFT calculation with GGA-PBE was carried out for crystalline ErTm5Sc4 at its relaxed geometry.

Output
- SG: No. 59
- E_form: 297 meV per atom
- Energy above the most stable polymorph in this dataset: 0 meV/atom

abc: 9.9394 11.1260 5.3488
angles: 90.00 90.00 90.00
Last column: nearest neighbours and their distance in Å.
Positions (direct):
Er 0.2500 0.2500 0.2502  4 Tm 2.97
Er 0.7500 0.7500 0.7498  4 Tm 2.97
Tm 0.0531 0.0496 0.2502  1 Er 2.97, 2 Tm 3.08, 3 Sc 3.25-3.32
Tm 0.0531 0.4504 0.2502  1 Er 2.97, 2 Tm 3.08, 3 Sc 3.25-3.32
Tm 0.2500 0.7500 0.7480  6 Sc 3.45-3.68, 4 Tm 3.75
Tm 0.4469 0.0496 0.2502  1 Er 2.97, 2 Tm 3.08, 3 Sc 3.25-3.32
Tm 0.4469 0.4504 0.2502  1 Er 2.97, 2 Tm 3.08, 3 Sc 3.25-3.32
Tm 0.5531 0.5496 0.7498  1 Er 2.97, 2 Tm 3.08, 3 Sc 3.25-3.32
Tm 0.5531 0.9504 0.7498  1 Er 2.97, 2 Tm 3.08, 3 Sc 3.25-3.32
Tm 0.7500 0.2500 0.2520  6 Sc 3.45-3.68, 4 Tm 3.75
Tm 0.9469 0.5496 0.7498  1 Er 2.97, 2 Tm 3.08, 3 Sc 3.25-3.32
Tm 0.9469 0.9504 0.7498  1 Er 2.97, 2 Tm 3.08, 3 Sc 3.25-3.32
Sc 0.0041 0.2500 0.7508  2 Sc 3.23, 6 Tm 3.38-3.52, 1 Er 3.62
Sc 0.2500 0.0598 0.7503  2 Sc 3.23, 7 Tm 3.25-3.45, 2 Er 3.41
Sc 0.2500 0.4402 0.7503  2 Sc 3.23, 7 Tm 3.25-3.45, 2 Er 3.41
Sc 0.4959 0.2500 0.7508  2 Sc 3.23, 6 Tm 3.38-3.52, 1 Er 3.62
Sc 0.5041 0.7500 0.2492  2 Sc 3.23, 6 Tm 3.38-3.52, 1 Er 3.62
Sc 0.7500 0.5598 0.2497  2 Sc 3.23, 7 Tm 3.25-3.45, 2 Er 3.41
Sc 0.7500 0.9402 0.2497  2 Sc 3.23, 7 Tm 3.25-3.45, 2 Er 3.41
Sc 0.9959 0.7500 0.2492  2 Sc 3.23, 6 Tm 3.38-3.52, 1 Er 3.62



No. 2
A plane-wave DFT calculation with GGA-PBE was carried out for crystalline MgZnS2 at its relaxed geometry.

Output
- SG: No. 122
- E_form (uncorrected): -1.080 eV/atom

abc: 6.8127 6.8127 6.8127
angles: 131.58 131.58 70.90
Last column: nearest neighbours and their distance in Å.
Positions (direct):
Mg 0.0000 0.0000 0.0000  4 S 2.46
Mg 0.7500 0.2500 0.5000  4 S 2.46
Zn 0.2500 0.7500 0.5000  4 S 2.37
Zn 0.5000 0.5000 0.0000  4 S 2.37
S 0.1392 0.6250 0.0142  2 Zn 2.37, 2 Mg 2.46
S 0.3750 0.3892 0.5142  2 Zn 2.37, 2 Mg 2.46
S 0.6108 0.1250 0.9858  2 Zn 2.37, 2 Mg 2.46
S 0.8750 0.8608 0.4858  2 Zn 2.37, 2 Mg 2.46



No. 3
A plane-wave DFT calculation with GGA-PBE was carried out for crystalline ZnCrSi2 at its relaxed geometry.

Output
- SG: No. 12
- E_form (uncorrected): 0.115 eV/atom

abc: 4.3391 4.3391 4.7352
angles: 100.05 100.05 38.79
Last column: nearest neighbours and their distance in Å.
Positions (direct):
Zn 0.0000 0.0000 0.0000  6 Si 2.59-2.72, 4 Cr 2.77, 2 Zn 2.88
Cr 0.5000 0.5000 0.5000  6 Si 2.49-2.52, 4 Zn 2.77
Si 0.2392 0.2392 0.7116  3 Cr 2.49-2.52, 2 Si 2.50, 3 Zn 2.59-2.72
Si 0.7608 0.7608 0.2884  3 Cr 2.49-2.52, 2 Si 2.50, 3 Zn 2.59-2.72